(1)
DFT (PBE) results for crystalline Ac4Si4Ge at its relaxed geometry.

Cell: 8.7969 8.7969 6.5576 Å, 90.00 90.00 90.00°
Sites, in units of the cell vectors:
Ac1 0.0284 0.6809 0.0953
Ac2 0.1809 0.9716 0.5953
Ac3 0.3191 0.5284 0.5953
Ac4 0.4716 0.8191 0.0953
Ac5 0.5284 0.1809 0.9047
Ac6 0.6809 0.4716 0.4047
Ac7 0.8191 0.0284 0.4047
Ac8 0.9716 0.3191 0.9047
Si1 0.0136 0.3665 0.4203
Si2 0.1335 0.0136 0.0797
Si3 0.3665 0.4864 0.0797
Si4 0.4864 0.1335 0.4203
Si5 0.5136 0.8665 0.5797
Si6 0.6335 0.5136 0.9203
Si7 0.8665 0.9864 0.9203
Si8 0.9864 0.6335 0.5797
Ge1 0.2500 0.2500 0.2500
Ge2 0.7500 0.7500 0.7500

Spin magnetization   0.0 μB per formula unit
Formation energy from raw total energies   -0.3679 eV/atom
E_tot   -46.05 eV per formula unit


(2)
DFT (PBE) results for crystalline Ac12Si6Ge at its relaxed geometry.

Cell: 9.4283 9.4283 9.4283 Å, 109.47 109.47 109.47°
Sites, in units of the cell vectors:
Ac1 0.1078 0.8110 0.2968
Ac2 0.1890 0.2968 0.4858
Ac3 0.1890 0.7032 0.8922
Ac4 0.2968 0.1078 0.8110
Ac5 0.2968 0.4858 0.1890
Ac6 0.4858 0.1890 0.2968
Ac7 0.5142 0.8110 0.7032
Ac8 0.7032 0.5142 0.8110
Ac9 0.7032 0.8922 0.1890
Ac10 0.8110 0.2968 0.1078
Ac11 0.8110 0.7032 0.5142
Ac12 0.8922 0.1890 0.7032
Si1 0.1093 0.6093 0.5000
Si2 0.3907 0.5000 0.8907
Si3 0.5000 0.1093 0.6093
Si4 0.5000 0.8907 0.3907
Si5 0.6093 0.5000 0.1093
Si6 0.8907 0.3907 0.5000
Ge1 0.0000 0.0000 0.0000

Spin magnetization   0.0 μB per formula unit
Formation energy from raw total energies   -0.4262 eV/atom
E_tot   -94.55 eV per formula unit


(3)
DFT (PBE) results for crystalline SrAcSiGe at its relaxed geometry.

Cell: 4.1379 6.3190 6.3190 Å, 44.16 90.00 90.00°
Sites, in units of the cell vectors:
Sr1 0.0000 0.0000 0.0000
Ac1 0.5000 0.2822 0.2822
Si1 0.0000 0.7082 0.7082
Ge1 0.5000 0.5718 0.5718

Spin magnetization   0.0 μB per formula unit
Relative energy among the computed polymorphs   0 meV/atom
Formation energy from raw total energies   -0.5782 eV/atom
E_tot   -18.14 eV per formula unit